This record from Alexandria via LeMat-Bulk describes crystalline TlVZnF6 at its relaxed geometry. The functional is PBE with a Hubbard U.

Space group: No. 74
Total energy in eV for the cell shown: -89.260

abc: 7.3428 7.5938 7.4768
angles: 120.52 119.41 90.00
Last column: magnetic moment on the atom in μB.
Sites, in units of the cell vectors:
Tl 0.9128 0.6628 0.8256  0.00
Tl 0.0872 0.3372 0.1744  0.00
F 0.1850 0.9275 0.7553  0.00
F 0.5703 0.3278 0.7553  0.00
F 0.5703 0.9275 0.7553  0.00
F 0.8294 0.0794 0.6588  0.00
F 0.4297 0.6722 0.2447  0.00
F 0.8150 0.0725 0.2447  0.00
F 0.8150 0.6722 0.2447  0.00
F 0.5623 0.3123 0.1245  0.01
F 0.4297 0.0725 0.2447  0.00
F 0.1706 0.9206 0.3412  0.00
F 0.1850 0.3278 0.7553  0.00
F 0.4377 0.6877 0.8755  0.01
Zn 0.0000 0.0000 0.5000  0.00
Zn 0.5000 0.0000 0.5000  0.00
V 0.5000 0.5000 0.0000  1.91
V 0.5000 0.0000 0.0000  1.91